1.
Entry from Alexandria: an optimized crystal structure of LaTe2N2 (GGA-PBE).

Cell: 4.3888 4.3888 5.6773 Å, 90.00 90.00 90.00°
Space group P4/mmm (No. 123)
One atom of each set of equivalent atoms:
1 La 0.0000 0.0000 0.0000 (multiplicity 1)
2 Te 0.5000 0.5000 0.0000 (multiplicity 1)
3 Te 0.5000 0.5000 0.5000 (multiplicity 1)
4 N 0.0000 0.5000 0.5000 (multiplicity 2)

Density of states at the Fermi level: 0.4756 states/eV per atom
ΔE to the lowest computed polymorph: 0.0 meV per atom
Raw total energy: -4.974 eV per atom
Formation energy (no corrections): 598 meV/atom

=====

2.
Entry from Alexandria: an optimized crystal structure of Sr6Pt2AuI3 (GGA-PBE).

Cell: 7.7686 13.4532 8.6828 Å, 90.00 107.35 90.00°
Space group C2/m (No. 12)
One atom of each set of equivalent atoms:
1 Sr 0.2192 0.0000 0.1982 (multiplicity 4)
2 Sr 0.2399 0.3265 0.1991 (multiplicity 8)
3 Pt 0.0000 0.1668 0.0000 (multiplicity 4)
4 Au 0.0000 0.5000 0.0000 (multiplicity 2)
5 I 0.0000 0.0000 0.5000 (multiplicity 2)
6 I 0.0000 0.3355 0.5000 (multiplicity 4)

Density of states at the Fermi level: 0.6219 states/eV per atom
Raw total energy: -3.591 eV per atom
Formation energy (no corrections): -1082 meV/atom

=====

3.
Entry from Alexandria: an optimized crystal structure of PtPb3S (GGA-PBE).

Cell: 5.4045 5.4045 5.4045 Å, 90.00 90.00 90.00°
Space group Pm-3m (No. 221)
One atom of each set of equivalent atoms:
1 Pt 0.0000 0.0000 0.0000 (multiplicity 1)
2 Pb 0.0000 0.5000 0.5000 (multiplicity 3)
3 S 0.5000 0.5000 0.5000 (multiplicity 1)

Density of states at the Fermi level: 0.6320 states/eV per atom
ΔE to the lowest computed polymorph: 338.1 meV per atom
Raw total energy: -3.763 eV per atom
Formation energy (no corrections): 496 meV/atom

=====

4.
Entry from Alexandria: an optimized crystal structure of TbCeTh14 (GGA-PBE).

Cell: 11.5660 7.1628 12.3912 Å, 90.00 90.00 90.00°
Space group Amm2 (No. 38)
One atom of each set of equivalent atoms:
1 Tb 0.0000 0.0000 0.0000 (multiplicity 2)
2 Ce 0.0000 0.0000 0.4973 (multiplicity 2)
3 Th 0.0000 0.2481 0.2515 (multiplicity 4)
4 Th 0.2492 0.0000 0.3331 (multiplicity 4)
5 Th 0.2488 0.2503 0.0830 (multiplicity 8)
6 Th 0.2500 0.0000 0.8335 (multiplicity 4)
7 Th 0.5000 0.0000 0.1660 (multiplicity 2)
8 Th 0.5000 0.0000 0.6665 (multiplicity 2)
9 Th 0.5000 0.2500 0.4163 (multiplicity 4)

Density of states at the Fermi level: 1.4253 states/eV per atom
Raw total energy: -7.117 eV per atom
E_form: 55 kJ/mol of formula units

=====

5.
Entry from Alexandria: an optimized crystal structure of LiZrPb2Au (GGA-PBE).

Cell: 5.6179 5.6179 5.3366 Å, 90.00 90.00 90.00°
Space group P4/mmm (No. 123)
One atom of each set of equivalent atoms:
1 Li 0.0000 0.0000 0.0000 (multiplicity 1)
2 Zr 0.0000 0.0000 0.5000 (multiplicity 1)
3 Pb 0.0000 0.5000 0.5000 (multiplicity 2)
4 Au 0.5000 0.5000 0.0000 (multiplicity 1)

Density of states at the Fermi level: 0.7820 states/eV per atom
ΔE to the lowest computed polymorph: 480.8 meV per atom
Raw total energy: -3.417 eV per atom
E_form: 393 kJ/mol of formula units

=====

6.
Entry from Alexandria: an optimized crystal structure of Cs2ScPBr6 (GGA-PBE).

Cell: 7.4993 7.4993 13.0186 Å, 90.00 90.00 90.00°
Space group I4/mmm (No. 139)
One atom of each set of equivalent atoms:
1 Cs 0.0000 0.5000 0.2500 (multiplicity 4)
2 Sc 0.0000 0.0000 0.0000 (multiplicity 2)
3 P 0.0000 0.0000 0.5000 (multiplicity 2)
4 Br 0.0000 0.0000 0.2033 (multiplicity 4)
5 Br 0.2464 0.2464 0.5000 (multiplicity 8)

Density of states at the Fermi level: 0.0000 states/eV per atom
Raw total energy: -3.557 eV per atom
Formation energy (no corrections): -1208 meV/atom

=====

7.
Entry from Alexandria: an optimized crystal structure of SrLi2In2 (GGA-PBE).

Cell: 8.6674 8.6674 3.4427 Å, 90.00 90.00 90.00°
Space group P4/mbm (No. 127)
One atom of each set of equivalent atoms:
1 Sr 0.0000 0.0000 0.0000 (multiplicity 2)
2 Li 0.1684 0.3316 0.5000 (multiplicity 4)
3 In 0.1232 0.6232 0.0000 (multiplicity 4)

Density of states at the Fermi level: 0.2817 states/eV per atom
ΔE to the lowest computed polymorph: 59.7 meV per atom
Raw total energy: -2.404 eV per atom
E_form: -100 kJ/mol of formula units

=====

8.
Entry from Alexandria: an optimized crystal structure of NdCoC (GGA-PBE).

Cell: 3.4520 3.4520 4.2433 Å, 90.00 90.00 120.00°
Space group P-6m2 (No. 187)
One atom of each set of equivalent atoms:
1 Nd 0.0000 0.0000 0.0000 (multiplicity 1)
2 Co 0.6667 0.3333 0.5000 (multiplicity 1)
3 C 0.3333 0.6667 0.5000 (multiplicity 1)

Density of states at the Fermi level: 0.8481 states/eV per atom
ΔE to the lowest computed polymorph: 237.3 meV per atom
Raw total energy: -6.975 eV per atom
E_form: 17 kJ/mol of formula units